# 1
Compound: TaBe2Ru2
Source: Alexandria
Functional: PBE
Structure: relaxed

The formation energy comes out at -0.43 eV/atom. The value obtained for the polymorph energy (0 for the lowest one) is 0 meV per atom.

The structure belongs to space group P4/mbm (No. 127); the cell edges are 6.4460, 6.4460 and 2.9327 Å and the angles 90.00°, 90.00° and 90.00°. Symmetry generates all atoms from Ta at (0.0000, 0.0000, 0.0000), Be at (0.1180, 0.3820, 0.0000) and Ru at (0.1724, 0.6724, 0.5000).



# 2
Compound: ThMgRuRh
Source: Alexandria
Functional: PBE
Structure: relaxed

The formation energy comes out at -0.51 eV/atom. The value obtained for the polymorph energy (0 for the lowest one) is 37 meV per atom.

The structure belongs to space group F-43m (No. 216); the cell edges are 6.7161, 6.7161 and 6.7161 Å and the angles 90.00°, 90.00° and 90.00°. Symmetry generates all atoms from Th at (0.0000, 0.0000, 0.0000), Mg at (0.0000, 0.0000, 0.5000), Ru at (0.2500, 0.2500, 0.2500) and Rh at (0.2500, 0.2500, 0.7500).



# 3
Compound: CaPa2RhN4
Source: Alexandria
Functional: PBE
Structure: relaxed

The calculation puts the raw formation energy at -114.83 kJ per mole of atoms.

The structure belongs to space group Cmcm (No. 63); the cell edges are 3.4897, 11.6417 and 11.9880 Å and the angles 90.00°, 90.00° and 90.00°. Symmetry generates all atoms from Ca at (0.0000, 0.0991, 0.2500), Pa at (0.0000, 0.3682, 0.0615), Rh at (0.0000, 0.1611, 0.7500), N at (0.0000, 0.0000, 0.0000), N at (0.0000, 0.2639, 0.5945) and N at (0.0000, 0.4486, 0.2500).



# 4
Compound: CuNi2Te
Source: Alexandria
Functional: PBE
Structure: relaxed

The calculation puts the raw formation energy at 18.42 kJ per mole of atoms.

The structure belongs to space group F-43m (No. 216); the cell edges are 6.0907, 6.0907 and 6.0907 Å and the angles 90.00°, 90.00° and 90.00°. Symmetry generates all atoms from Cu at (0.0000, 0.0000, 0.0000), Ni at (0.0000, 0.0000, 0.5000), Ni at (0.2500, 0.2500, 0.7500) and Te at (0.2500, 0.2500, 0.2500).